LaTm4Ni4 PBE-GGA optimized geometry; space-group type = P4_2/n (86); calculated total energy = -5.404 eV per atom; ΔE_f = -0.30 eV per atom; DOS(E_F) = 17.17 states/eV/cell
1.0
-3.282 -0.382 -4.397
5.215 -5.994 -3.373
-4.558 -6.181 3.939
La Tm Ni
2 8 8
direct
0.000 0.000 0.000
0.500 0.500 0.500
0.405 0.328 0.907
0.905 0.593 0.828
0.405 0.672 0.093
0.095 0.172 0.593
0.595 0.907 0.672
0.095 0.828 0.407
0.905 0.407 0.172
0.595 0.093 0.328
0.604 0.784 0.362
0.604 0.216 0.638
0.104 0.862 0.716
0.896 0.284 0.862
0.896 0.716 0.138
0.396 0.362 0.216
0.396 0.638 0.784
0.104 0.138 0.284